RePPt2: optimized geometry, GGA-PBE.

Lattice parameters (Å, degrees): 4.5601 4.5601 5.1773 72.99 72.99 36.27
Element x y z (fractional)
1 Re 0.5257 0.5257 0.4318
2 P 0.2611 0.2611 0.3309
3 Pt 0.9671 0.9671 0.0017
4 Pt 0.7460 0.7460 0.7355

Output
ΔE_f = 13.2 meV per atom
M_tot = 0.00 μB/f.u.
E above lowest polymorph = 0.41 eV per formula unit
Electronic total energy = -7.47 eV/atom